This record from the Alexandria database describes Al2TcHAu after structural relaxation. The functional is PBE-GGA.

a = 4.1968 Å, b = 4.1968 Å, c = 3.5505 Å
α = 90.00°, β = 90.00°, γ = 90.00°
Fractional coordinates of all 5 atoms:
Al  0.0000  0.5000  0.0000
Al  0.5000  0.0000  0.0000
Tc  0.0000  0.0000  0.5000
H  0.0000  0.0000  0.0000
Au  0.5000  0.5000  0.5000

## Properties
Volume: 12.5 Å³/atom
Energy: -5.08 eV per atom
Total magnetization: 0.00 μB per formula unit
D(E_F): 0.473 states/eV per atom